Here is an optimized crystal structure of LiBeCr from Alexandria. Energies are from PBE.

Cell: 2.4459 2.4459 6.5441 Å, 90.00 90.00 120.00°
Closest atoms and distances in Å follow each position.
Positions (direct):
Be 0.0000 0.0000 0.0116  3 Cr 2.43, 6 Be 2.45, 3 Li 2.62
Li 0.3333 0.6667 0.6746  6 Li 2.45, 3 Be 2.62
Cr 0.6667 0.3333 0.3138  3 Be 2.43, 6 Cr 2.45

Values from the calculation:
**SG**: P3m1 (156)
**VASP energy**: -4.757 eV/atom
**Energy above the lowest structure with this stoichiometry**: 84.8 meV/atom
**Spin magnetization**: 0.4 Bohr magnetons per cell



Here is an optimized crystal structure of Sr3Ag2SnO6 from Alexandria. Energies are from PBE.

Cell: 6.0437 6.0437 6.4129 Å, 90.00 90.00 120.00°
Closest atoms and distances in Å follow each position.
Positions (direct):
O 0.1619 0.8381 0.3087  1 Sn 2.09, 1 Ag 2.26
Sn 0.0000 0.0000 0.5000  6 O 2.09
O 0.3238 0.1619 0.6913  1 Sn 2.09, 1 Ag 2.26
Sr 0.3333 0.6667 0.5895  3 O 2.54
O 0.8381 0.1619 0.6913  1 Sn 2.09, 1 Ag 2.26
Ag 0.6667 0.3333 0.9066  3 O 2.26
Sr 0.6667 0.3333 0.4105  3 O 2.54
O 0.1619 0.3238 0.3087  1 Sn 2.09, 1 Ag 2.26
Sr 0.0000 0.0000 0.0000  6 O 2.61
O 0.8381 0.6762 0.6913  1 Sn 2.09, 1 Ag 2.26
Ag 0.3333 0.6667 0.0934  3 O 2.26
O 0.6762 0.8381 0.3087  1 Sn 2.09, 1 Ag 2.26

Values from the calculation:
**SG**: P-3m1 (164)
**VASP energy**: -5.316 eV/atom
**Spin magnetization**: 0.0 Bohr magnetons per cell
**Formation energy from raw total energies**: -1607 meV/atom